AcDy6Tm5 | PBE-GGA | relaxed

Summary:
Formation energy from the elements in eV per atom: 0.040
Magnetic moment in μB per formula unit: 0.00
Space group: P2/m, No. 10
Calculated volume in Å³/atom: 31.8

```
data_AcDy6Tm5
_symmetry_space_group_name_H-M 'P 1'
_symmetry_Int_Tables_number 1
_cell_length_a 5.011
_cell_length_b 10.078
_cell_length_c 7.955
_cell_angle_alpha 90.00
_cell_angle_beta 108.30
_cell_angle_gamma 90.00
loop_
_symmetry_equiv_pos_as_xyz
'x,y,z'
loop_
_atom_site_label
_atom_site_fract_x
_atom_site_fract_y
_atom_site_fract_z
_atom_site_occupancy
Ac1 0.000 0.000 0.000 1
Dy1 0.168 0.255 0.336 1
Dy2 0.168 0.745 0.336 1
Dy3 0.500 0.259 0.000 1
Dy4 0.500 0.741 0.000 1
Dy5 0.832 0.255 0.664 1
Dy6 0.832 0.745 0.664 1
Tm1 0.000 0.500 0.000 1
Tm2 0.329 0.000 0.657 1
Tm3 0.333 0.500 0.665 1
Tm4 0.667 0.500 0.335 1
Tm5 0.671 0.000 0.343 1
```